Entry 1:
The following is a PBE-GGA calculation of crystalline SrHg2Bi at its relaxed geometry, from the Alexandria database.

The structure in POSCAR format:
```
SrHg2Bi
1.0
4.8420 0.0000 0.0000
0.0000 4.8420 0.0000
2.4210 2.4210 11.4549
Sr Bi Hg
2 2 4
direct
0.5000 0.5000 0.0000
0.2500 0.7500 0.5000
0.0000 0.0000 0.0000
0.7500 0.2500 0.5000
0.6551 0.1250 0.2500
0.0949 0.6250 0.2500
0.3750 0.3449 0.7500
0.8750 0.9051 0.7500
```

Output
The total moment comes out at 0.0 μB per formula unit. The formation energy comes out at -0.359 eV per atom.

=====

Entry 2:
The following is a PBE-GGA calculation of crystalline SrHg4Bi at its relaxed geometry, from the Alexandria database.

The structure in POSCAR format:
```
SrHg4Bi
1.0
4.7983 -0.7343 0.2909
0.5401 4.5125 2.4663
-0.5724 -0.8928 7.1794
Sr Hg Bi
1 4 1
direct
0.5000 0.5000 0.0000
0.0000 0.3229 0.3543
0.5000 0.1742 0.6517
0.0000 0.6771 0.6457
0.5000 0.8258 0.3483
0.0000 0.0000 0.0000
```

Output
The total moment comes out at 0.0 μB per formula unit. The formation energy comes out at -0.283 eV per atom. As for the offset from the most stable computed form: 0 meV per atom.

=====

Entry 3:
The following is a PBE-GGA calculation of crystalline Sr3HgBi3 at its relaxed geometry, from the Alexandria database.

The structure in POSCAR format:
```
Sr3HgBi3
1.0
-3.6487 1.3498 2.9759
2.0914 0.0001 6.5951
4.6381 15.5040 2.6856
Sr Hg Bi
6 2 6
direct
0.5506 0.2885 0.6104
0.4494 0.7115 0.3896
0.2653 0.2448 0.2246
0.7347 0.7552 0.7754
0.4127 0.2559 0.9186
0.5873 0.7441 0.0814
0.7639 0.0861 0.3860
0.2361 0.9139 0.6140
0.8777 0.6858 0.5588
0.1223 0.3142 0.4412
0.1423 0.7964 0.9189
0.8577 0.2036 0.0811
0.9891 0.7930 0.2289
0.0109 0.2070 0.7711
```

Output
The total moment comes out at 0.0 μB per formula unit. The formation energy comes out at -0.673 eV per atom.

=====

Entry 4:
The following is a PBE-GGA calculation of crystalline SrHg2Bi2 at its relaxed geometry, from the Alexandria database.

The structure in POSCAR format:
```
SrHg2Bi2
1.0
-5.0306 4.9060 -5.4626
5.4329 -1.9670 -6.7698
-2.2059 -3.1984 -0.8410
Sr Bi Hg
2 4 4
direct
0.0000 0.0000 0.0000
0.5000 0.5000 0.0000
0.3680 0.8680 0.0000
0.8680 0.6320 0.0000
0.6320 0.1320 0.0000
0.1320 0.3680 0.0000
0.1662 0.6662 0.5000
0.6662 0.8338 0.5000
0.8338 0.3338 0.5000
0.3338 0.1662 0.5000
```

Output
The total moment comes out at 0.0 μB per formula unit. The formation energy comes out at -0.179 eV per atom. As for the offset from the most stable computed form: 139 meV per atom.